1.
Below is a relaxed Zn2GaCo2 crystal, with properties calculated at the PBE-GGA level.

Cell and atoms, written as POSCAR:
```
Zn2GaCo2
1.0
-1.6849 1.6849 6.2061
1.6849 -1.6849 6.2061
1.6849 1.6849 -6.2061
Zn Ga Co
2 1 2
Cartesian
1.6849 0.0000 3.1031
0.0000 1.6849 3.1031
0.0000 0.0000 0.0000
0.0000 0.0000 5.0719
0.0000 0.0000 7.3403
```

Properties
- Symmetry: I4/mmm, No. 139

2.
Below is a relaxed ZnGa8Co2 crystal, with properties calculated at the PBE-GGA level.

Cell and atoms, written as POSCAR:
```
ZnGa8Co2
1.0
5.4044 -3.6088 0.0000
5.4044 3.6088 0.0000
-0.9422 0.0000 4.7283
Zn Ga Co
1 8 2
Cartesian
0.0000 0.0000 0.0000
3.6093 1.5867 2.8474
1.4059 0.0000 3.7864
6.2572 1.5867 1.8809
4.3609 0.0000 0.7452
5.5056 0.0000 3.9831
3.6093 -1.5867 2.8474
8.4606 0.0000 0.9419
6.2572 -1.5867 1.8809
2.0608 0.0000 1.4675
7.8057 0.0000 3.2608
```

Properties
- Symmetry: C2/m, No. 12

3.
Below is a relaxed ZnGaCo crystal, with properties calculated at the PBE-GGA level.

Cell and atoms, written as POSCAR:
```
ZnGaCo
1.0
4.0620 0.0000 0.0000
-2.0310 3.5178 0.0000
0.0000 0.0000 2.7611
Zn Ga Co
1 1 1
Cartesian
0.0000 0.0000 0.0000
2.0310 1.1726 1.8021
0.0000 2.3452 1.1507
```

Properties
- Symmetry: P3m1, No. 156

4.
Below is a relaxed ZnGa3Co crystal, with properties calculated at the PBE-GGA level.

Cell and atoms, written as POSCAR:
```
ZnGa3Co
1.0
4.6334 -3.6407 0.0000
4.6334 3.6407 0.0000
-3.9556 0.0000 5.0548
Zn Ga Co
2 6 2
Cartesian
-0.4345 0.0000 1.2614
5.7458 0.0000 3.7934
-1.0428 1.3259 3.8910
-1.0428 -1.3259 3.8910
1.3773 0.0000 3.1197
3.9340 0.0000 1.9351
6.3540 1.3259 1.1638
6.3540 -1.3259 1.1638
1.9515 0.0000 0.6752
3.3597 0.0000 4.3796
```

Properties
- Symmetry: C2/m, No. 12

5.
Below is a relaxed ZnGa2Co crystal, with properties calculated at the PBE-GGA level.

Cell and atoms, written as POSCAR:
```
ZnGa2Co
1.0
3.8347 0.0000 0.0000
0.0000 3.8347 0.0000
0.0000 0.0000 3.6905
Zn Ga Co
1 2 1
Cartesian
0.0000 0.0000 0.0000
0.0000 1.9173 1.8453
1.9173 0.0000 1.8453
1.9173 1.9173 0.0000
```

Properties
- Symmetry: P4/mmm, No. 123

6.
Below is a relaxed ZnGaCo2 crystal, with properties calculated at the PBE-GGA level.

Cell and atoms, written as POSCAR:
```
ZnGaCo2
1.0
-1.2871 2.2056 4.9145
1.2871 -2.2056 4.9145
1.2871 2.2056 -4.9145
Zn Ga Co
1 1 2
Cartesian
0.0000 0.0000 0.0000
0.0000 0.0000 4.9145
0.0000 0.0000 2.4754
0.0000 0.0000 7.3536
```

Properties
- Symmetry: Immm, No. 71

7.
Below is a relaxed ZnGaCo crystal, with properties calculated at the PBE-GGA level.

Cell and atoms, written as POSCAR:
```
ZnGaCo
1.0
3.9960 -4.0073 0.0000
3.9960 4.0073 0.0000
-3.9741 0.0000 5.6732
Zn Ga Co
4 4 4
Cartesian
1.0136 3.0060 2.8661
1.0171 3.0060 5.6437
3.0007 -3.0060 0.0295
3.0042 -3.0060 2.8071
-0.9713 1.0028 5.6384
1.0158 -1.0028 2.8018
3.0020 1.0028 2.8714
4.9891 -1.0028 0.0348
1.0611 1.0017 1.4175
-0.9260 -1.0017 4.2541
4.9438 1.0017 1.4191
2.9567 -1.0017 4.2557
```

Properties
- Symmetry: C2/c, No. 15

8.
Below is a relaxed ZnGaCo crystal, with properties calculated at the PBE-GGA level.

Cell and atoms, written as POSCAR:
```
ZnGaCo
1.0
2.6480 0.0000 0.0000
0.0000 4.0487 0.0000
0.0000 0.0000 4.2147
Zn Ga Co
1 1 1
Cartesian
0.0000 0.0000 0.0000
0.0000 2.0243 2.1073
1.3240 0.0000 2.1073
```

Properties
- Symmetry: Pmmm, No. 47

| no. | uncorrected energy (eV per atom) | Fermi-level density of states (states/eV/cell) |
| --- | --- | --- |
| 1 | -3.73 | 6.3 |
| 2 | -3.69 | 4.7 |
| 3 | -3.82 | 1.4 |
| 4 | -3.50 | 5.4 |
| 5 | -3.62 | 2.3 |
| 6 | -4.19 | 4.5 |
| 7 | -3.78 | 6.8 |
| 8 | -4.01 | 1.5 |